A relaxed Li2WAu crystal, computed with GGA-PBE.

The structure in CIF format:
```
data_Li2WAu
_chemical_formula_sum 'Li2 W1 Au1'
_cell_length_a 2.6504
_cell_length_b 4.6871
_cell_length_c 5.0752
_cell_angle_alpha 90.00
_cell_angle_beta 92.07
_cell_angle_gamma 90.00
_symmetry_space_group_name_H-M 'P 1 2/m 1'
_symmetry_Int_Tables_number 10
loop_
_symmetry_equiv_pos_as_xyz
'x,y,z'
'-x,-y,-z'
'-x,y,-z'
'x,-y,z'
loop_
_atom_site_label
_atom_site_type_symbol
_atom_site_fract_x
_atom_site_fract_y
_atom_site_fract_z
_atom_site_occupancy
Li1 Li 0.1245 0.0000 0.2403 1
W1 W 0.5000 0.5000 0.0000 1
Au1 Au 0.0000 0.5000 0.5000 1
```

Results
Offset from the most stable computed form: 0.1501 eV/atom
Calculated total energy: -19.09 eV per formula unit

***

A relaxed NiHg3Mo crystal, computed with GGA-PBE.

The structure in CIF format:
```
data_NiHg3Mo
_chemical_formula_sum 'Ni1 Hg3 Mo1'
_cell_length_a 4.9461
_cell_length_b 4.9461
_cell_length_c 4.9461
_cell_angle_alpha 90.00
_cell_angle_beta 90.00
_cell_angle_gamma 90.00
_symmetry_space_group_name_H-M 'P m -3 m'
_symmetry_Int_Tables_number 221
_symmetry_space_group_name_Hall '-P 4 2 3'
loop_
_atom_site_label
_atom_site_type_symbol
_atom_site_fract_x
_atom_site_fract_y
_atom_site_fract_z
_atom_site_occupancy
Ni1 Ni 0.0000 0.0000 0.0000 1
Hg1 Hg 0.0000 0.0000 0.5000 1
Mo1 Mo 0.5000 0.5000 0.5000 1
```

Results
Calculated total energy: -12.68 eV per formula unit

***

A relaxed Ca4AlHg2 crystal, computed with GGA-PBE.

The structure in CIF format:
```
data_Ca4AlHg2
_chemical_formula_sum 'Ca12 Al3 Hg6'
_cell_length_a 5.2839
_cell_length_b 5.2839
_cell_length_c 26.1286
_cell_angle_alpha 90.00
_cell_angle_beta 90.00
_cell_angle_gamma 120.00
_symmetry_space_group_name_H-M 'R -3 m'
_symmetry_Int_Tables_number 166
_symmetry_space_group_name_Hall '-R 3 2"'
loop_
_atom_site_label
_atom_site_type_symbol
_atom_site_fract_x
_atom_site_fract_y
_atom_site_fract_z
_atom_site_occupancy
Ca1 Ca 0.0000 0.0000 0.1249 1
Ca2 Ca 0.0000 0.0000 0.3754 1
Al1 Al 0.0000 0.0000 0.0000 1
Hg1 Hg 0.0000 0.0000 0.2511 1
```

Results
Calculated total energy: -14.81 eV per formula unit

***

A relaxed Zn3AsF crystal, computed with GGA-PBE.

The structure in CIF format:
```
data_Zn3AsF
_chemical_formula_sum 'Zn3 As1 F1'
_cell_length_a 4.4188
_cell_length_b 4.4188
_cell_length_c 4.4188
_cell_angle_alpha 90.00
_cell_angle_beta 90.00
_cell_angle_gamma 90.00
_symmetry_space_group_name_H-M 'P m -3 m'
_symmetry_Int_Tables_number 221
_symmetry_space_group_name_Hall '-P 4 2 3'
loop_
_atom_site_label
_atom_site_type_symbol
_atom_site_fract_x
_atom_site_fract_y
_atom_site_fract_z
_atom_site_occupancy
Zn1 Zn 0.0000 0.0000 0.5000 1
As1 As 0.5000 0.5000 0.5000 1
F1 F 0.0000 0.0000 0.0000 1
```

Results
Formation energy from raw total energies: -0.134 eV per atom
Offset from the most stable computed form: 0.0000 eV/atom
Calculated total energy: -11.01 eV per formula unit

***

A relaxed Li2CaMnHg crystal, computed with GGA-PBE.

The structure in CIF format:
```
data_Li2CaMnHg
_chemical_formula_sum 'Li2 Ca1 Mn1 Hg1'
_cell_length_a 4.9504
_cell_length_b 4.9504
_cell_length_c 5.5817
_cell_angle_alpha 90.00
_cell_angle_beta 90.00
_cell_angle_gamma 90.00
_symmetry_space_group_name_H-M 'P 4/m m m'
_symmetry_Int_Tables_number 123
_symmetry_space_group_name_Hall '-P 4 2'
loop_
_atom_site_label
_atom_site_type_symbol
_atom_site_fract_x
_atom_site_fract_y
_atom_site_fract_z
_atom_site_occupancy
Li1 Li 0.0000 0.5000 0.0000 1
Ca1 Ca 0.0000 0.0000 0.5000 1
Mn1 Mn 0.0000 0.0000 0.0000 1
Hg1 Hg 0.5000 0.5000 0.5000 1
```

Results
Calculated total energy: -12.69 eV per formula unit

***

A relaxed Mg5RhAu2 crystal, computed with GGA-PBE.

The structure in CIF format:
```
data_Mg5RhAu2
_chemical_formula_sum 'Mg10 Rh2 Au4'
_cell_length_a 5.7184
_cell_length_b 11.2552
_cell_length_c 4.4472
_cell_angle_alpha 90.00
_cell_angle_beta 90.00
_cell_angle_gamma 90.00
_symmetry_space_group_name_H-M 'P b a m'
_symmetry_Int_Tables_number 55
loop_
_symmetry_equiv_pos_as_xyz
'x,y,z'
'-x,-y,-z'
'-x,-y,z'
'x,y,-z'
'x+1/2,-y+1/2,-z'
'-x+1/2,y+1/2,z'
'-x+1/2,y+1/2,-z'
'x+1/2,-y+1/2,z'
loop_
_atom_site_label
_atom_site_type_symbol
_atom_site_fract_x
_atom_site_fract_y
_atom_site_fract_z
_atom_site_occupancy
Mg1 Mg 0.0000 0.0000 0.0000 1
Mg2 Mg 0.0970 0.2665 0.0000 1
Mg3 Mg 0.1737 0.6056 0.5000 1
Rh1 Rh 0.0000 0.5000 0.0000 1
Au1 Au 0.1693 0.8637 0.5000 1
```

Results
Calculated total energy: -25.80 eV per formula unit

***

A relaxed TiTc2GeW crystal, computed with GGA-PBE.

The structure in CIF format:
```
data_TiTc2GeW
_chemical_formula_sum 'Ti1 Tc2 Ge1 W1'
_cell_length_a 4.7079
_cell_length_b 4.7079
_cell_length_c 4.7715
_cell_angle_alpha 90.00
_cell_angle_beta 90.00
_cell_angle_gamma 90.00
_symmetry_space_group_name_H-M 'P 4/m m m'
_symmetry_Int_Tables_number 123
_symmetry_space_group_name_Hall '-P 4 2'
loop_
_atom_site_label
_atom_site_type_symbol
_atom_site_fract_x
_atom_site_fract_y
_atom_site_fract_z
_atom_site_occupancy
Ti1 Ti 0.0000 0.0000 0.0000 1
Tc1 Tc 0.0000 0.5000 0.5000 1
Ge1 Ge 0.5000 0.5000 0.0000 1
W1 W 0.0000 0.0000 0.5000 1
```

Results
Calculated total energy: -39.24 eV per formula unit

***

A relaxed NbCd4 crystal, computed with GGA-PBE.

The structure in CIF format:
```
data_NbCd4
_chemical_formula_sum 'Nb1 Cd4'
_cell_length_a 5.6337
_cell_length_b 5.6337
_cell_length_c 5.6337
_cell_angle_alpha 90.00
_cell_angle_beta 90.00
_cell_angle_gamma 90.00
_symmetry_space_group_name_H-M 'P m -3 m'
_symmetry_Int_Tables_number 221
_symmetry_space_group_name_Hall '-P 4 2 3'
loop_
_atom_site_label
_atom_site_type_symbol
_atom_site_fract_x
_atom_site_fract_y
_atom_site_fract_z
_atom_site_occupancy
Nb1 Nb 0.0000 0.0000 0.0000 1
Cd1 Cd 0.0000 0.0000 0.5000 1
Cd2 Cd 0.5000 0.5000 0.5000 1
```

Results
Calculated total energy: -9.06 eV per formula unit

***

A relaxed Sc5AgS8 crystal, computed with GGA-PBE.

The structure in CIF format:
```
data_Sc5AgS8
_chemical_formula_sum 'Sc20 Ag4 S32'
_cell_length_a 10.7640
_cell_length_b 10.7640
_cell_length_c 10.7640
_cell_angle_alpha 90.00
_cell_angle_beta 90.00
_cell_angle_gamma 90.00
_symmetry_space_group_name_H-M 'F -4 3 m'
_symmetry_Int_Tables_number 216
_symmetry_space_group_name_Hall 'F -4 2 3'
loop_
_atom_site_label
_atom_site_type_symbol
_atom_site_fract_x
_atom_site_fract_y
_atom_site_fract_z
_atom_site_occupancy
Sc1 Sc 0.0000 0.0000 0.0000 1
Sc2 Sc 0.1201 0.1201 0.3799 1
Ag1 Ag 0.2500 0.2500 0.7500 1
S1 S 0.1152 0.1152 0.6152 1
S2 S 0.1328 0.1328 0.1328 1
```

Results
Formation energy from raw total energies: -1.687 eV per atom
Calculated total energy: -91.15 eV per formula unit

***

Going through the records in order, we get magnetic moment values of 0.65 4.50 0.00 0.00 3.92 0.00 1.28 4.04 0.00 μB per formula unit.